No. 1
Computed, not measured: a relaxed structure of Ce2Si4AgPt3 at the PBE level of DFT.

a = 4.273 Å, b = 4.273 Å, c = 9.933 Å
α = 90.00°, β = 90.00°, γ = 90.00°
Each line ends with the local moment (μB).
Element x y z (fractional)
Ce1 0.500 0.000 0.245  0.26
Ce2 0.000 0.500 0.755  0.26
Si1 0.500 0.500 0.000  0.00
Si2 0.000 0.000 0.000  0.00
Si3 0.500 0.000 0.639  0.00
Si4 0.000 0.500 0.361  0.00
Ag1 0.500 0.500 0.500  0.00
Pt1 0.000 0.000 0.500  0.00
Pt2 0.500 0.000 0.882  -0.01
Pt3 0.000 0.500 0.118  -0.01

Calculated values
formation energy from raw total energies	-0.94	eV/atom


No. 2
Computed, not measured: a relaxed structure of Cr2HgOs at the PBE level of DFT.

a = 3.964 Å, b = 3.965 Å, c = 3.843 Å
α = 90.00°, β = 90.00°, γ = 90.00°
Each line ends with the local moment (μB).
Element x y z (fractional)
Cr1 0.000 0.000 0.000  2.56
Cr2 0.500 0.500 0.000  -2.56
Hg1 0.500 0.000 0.500  0.00
Os1 0.000 0.500 0.500  0.00

Calculated values
formation energy	0.546	eV per atom


No. 3
Computed, not measured: a relaxed structure of ZrCd2AgMo at the PBE level of DFT.

a = 5.497 Å, b = 5.201 Å, c = 5.497 Å
α = 90.00°, β = 90.00°, γ = 90.00°
Each line ends with the local moment (μB).
Element x y z (fractional)
Mo1 0.500 0.500 0.500  3.76
Zr1 0.000 0.000 0.000  -0.56
Ag1 0.000 0.500 0.000  -0.02
Cd1 0.000 0.000 0.500  -0.01
Cd2 0.500 0.000 0.000  -0.05

Calculated values
formation energy	1.690	eV per atom


No. 4
Computed, not measured: a relaxed structure of Tl3HgS at the PBE level of DFT.

a = 5.648 Å, b = 5.648 Å, c = 5.648 Å
α = 90.00°, β = 90.00°, γ = 90.00°
Element x y z (fractional)
S1 0.500 0.500 0.500
Tl1 0.000 0.500 0.000
Tl2 0.000 0.000 0.500
Tl3 0.500 0.000 0.000
Hg1 0.000 0.000 0.000

Calculated values
formation energy from raw total energies	0.32	eV/atom


| no. | density (g cm⁻³) | uncorrected energy (eV/atom) |
| --- | --- | --- |
| 1 | 9.94 | -6.389 |
| 2 | 13.60 | -7.148 |
| 3 | 5.49 | -3.122 |
| 4 | 7.80 | -1.989 |